1.
The following is a DFT calculation (PBE) of an optimized crystal structure of DyHoGa.

Geometry as CIF:
```
data_DyHoGa
_chemical_formula_sum 'Dy1 Ho1 Ga1'
_symmetry_space_group_name_H-M 'P 1'
_symmetry_Int_Tables_number 1
_cell_length_a 4.946
_cell_length_b 4.946
_cell_length_c 4.946
_cell_angle_alpha 60.00
_cell_angle_beta 60.00
_cell_angle_gamma 60.00
loop_
_symmetry_equiv_pos_as_xyz
'x,y,z'
loop_
_atom_site_label
_atom_site_fract_x
_atom_site_fract_y
_atom_site_fract_z
Ho1 0.500 0.500 0.500
Ga1 0.250 0.250 0.250
Dy1 0.000 0.000 0.000
```

Computed properties:
Calculated total energy, eV/cell: -12.954
ΔH_f (0 K), meV/atom: -249
Crystal system: cubic
DOS at the Fermi energy, states/eV per atom: 1.52

---

2.
The following is a DFT calculation (PBE) of an optimized crystal structure of DyHoInGa.

Geometry as CIF:
```
data_DyHoInGa
_chemical_formula_sum 'Dy1 Ho1 In1 Ga1'
_symmetry_space_group_name_H-M 'P 1'
_symmetry_Int_Tables_number 1
_cell_length_a 5.185
_cell_length_b 5.185
_cell_length_c 5.185
_cell_angle_alpha 60.00
_cell_angle_beta 60.00
_cell_angle_gamma 60.00
loop_
_symmetry_equiv_pos_as_xyz
'x,y,z'
loop_
_atom_site_label
_atom_site_fract_x
_atom_site_fract_y
_atom_site_fract_z
Dy1 0.500 0.500 0.500
In1 0.250 0.250 0.250
Ga1 0.750 0.750 0.750
Ho1 0.000 0.000 0.000
```

Computed properties:
Calculated total energy, eV/cell: -16.932
ΔH_f (0 K), meV/atom: -497
Crystal system: cubic
DOS at the Fermi energy, states/eV per atom: 0.34

---

3.
The following is a DFT calculation (PBE) of an optimized crystal structure of DyHoInGa.

Geometry as CIF:
```
data_DyHoInGa
_chemical_formula_sum 'Dy1 Ho1 In1 Ga1'
_symmetry_space_group_name_H-M 'P 1'
_symmetry_Int_Tables_number 1
_cell_length_a 3.568
_cell_length_b 3.568
_cell_length_c 7.713
_cell_angle_alpha 90.00
_cell_angle_beta 90.00
_cell_angle_gamma 90.00
loop_
_symmetry_equiv_pos_as_xyz
'x,y,z'
loop_
_atom_site_label
_atom_site_fract_x
_atom_site_fract_y
_atom_site_fract_z
Ho1 0.500 0.500 0.591
Ga1 0.000 0.000 0.358
In1 0.000 0.000 0.856
Dy1 0.500 0.500 0.123
```

Computed properties:
Calculated total energy, eV/cell: -17.008
ΔH_f (0 K), meV/atom: -516
Crystal system: tetragonal
DOS at the Fermi energy, states/eV per atom: 0.43

---

4.
The following is a DFT calculation (PBE) of an optimized crystal structure of DyHoGaOs.

Geometry as CIF:
```
data_DyHoGaOs
_chemical_formula_sum 'Dy1 Ho1 Ga1 Os1'
_symmetry_space_group_name_H-M 'P 1'
_symmetry_Int_Tables_number 1
_cell_length_a 4.914
_cell_length_b 4.914
_cell_length_c 4.914
_cell_angle_alpha 60.00
_cell_angle_beta 60.00
_cell_angle_gamma 60.00
loop_
_symmetry_equiv_pos_as_xyz
'x,y,z'
loop_
_atom_site_label
_atom_site_fract_x
_atom_site_fract_y
_atom_site_fract_z
Os1 0.750 0.750 0.750
Ho1 0.000 0.000 0.000
Dy1 0.500 0.500 0.500
Ga1 0.250 0.250 0.250
```

Computed properties:
Calculated total energy, eV/cell: -24.908
ΔH_f (0 K), meV/atom: -368
Crystal system: cubic
DOS at the Fermi energy, states/eV per atom: 0.65

---

Which of these has the highest ΔH_f (0 K)? DyHoGa

---

Look up the calculated total energy of the second one. -16.932 eV/cell

---

Which of these has the lowest DOS at the Fermi energy? number 2